Compound: Mg3Ga4Pd
Source: Alexandria via LeMat-Bulk
Functional: PBE
Structure: relaxed

```
Mg3Ga4Pd
1.0
-2.160 3.248 5.658
2.160 -3.248 5.658
2.160 3.248 -5.658
Mg Ga Pd
3 4 1
Direct
0.000 0.000 0.000 Mg
0.364 0.864 0.500 Mg
0.636 0.136 0.500 Mg
0.054 0.350 0.704 Ga
0.354 0.650 0.704 Ga
0.646 0.350 0.296 Ga
0.946 0.650 0.296 Ga
0.500 0.500 0.000 Pd
```

Output
**Total energy**: -2.98 eV per atom
**Energy of formation from the pure elements**: -217 meV/atom
**V**: 158.8 Å³/f.u.